# 1
# TePW2 PBE relaxed
data_TePW2
_cell_length_a 6.377
_cell_length_b 6.377
_cell_length_c 6.377
_cell_angle_alpha 90.00
_cell_angle_beta 90.00
_cell_angle_gamma 90.00
_symmetry_space_group_name_H-M 'F m -3 m'
_symmetry_Int_Tables_number 225
_symmetry_space_group_name_Hall '-F 4 2 3'
loop_
_atom_site_label
_atom_site_type_symbol
_atom_site_fract_x
_atom_site_fract_y
_atom_site_fract_z
_atom_site_occupancy
Te1 Te 0.000 0.000 0.000 1
P1 P 0.000 0.000 0.500 1
W1 W 0.250 0.250 0.250 1
# energy above the most stable polymorph in this dataset = 306 meV/atom
# formation energy from raw total energies = 0.492 eV/atom
# raw total energy = -129.97 eV per cell


# 2
# CsUAlSe4 PBE relaxed
data_CsUAlSe4
_cell_length_a 6.730
_cell_length_b 7.070
_cell_length_c 9.954
_cell_angle_alpha 90.00
_cell_angle_beta 109.47
_cell_angle_gamma 90.00
_symmetry_space_group_name_H-M 'P 1 21/m 1'
_symmetry_Int_Tables_number 11
loop_
_symmetry_equiv_pos_as_xyz
'x,y,z'
'-x,-y,-z'
'-x,y+1/2,-z'
'x,-y+1/2,z'
loop_
_atom_site_label
_atom_site_type_symbol
_atom_site_fract_x
_atom_site_fract_y
_atom_site_fract_z
_atom_site_occupancy
Cs1 Cs 0.249 0.250 0.446 1
U1 U 0.278 0.250 0.952 1
Al1 Al 0.270 0.750 0.156 1
Se1 Se 0.035 0.750 0.918 1
Se2 Se 0.070 0.750 0.312 1
Se3 Se 0.481 0.508 0.807 1
# formation energy from raw total energies = -1.128 eV/atom
# raw total energy = -75.44 eV per cell


> Which of these has the highest raw total energy?

CsUAlSe4